First-principles (PBE with a Hubbard U) data for HfMg30CoO32 after structural relaxation, as listed in Alexandria via LeMat-Bulk.

Values from the calculation:
- Space group: P4/mmm, No. 123
- Electronic total energy: -6.08 eV per atom
- Spin magnetization: 0.038 μB/atom

a b c (Å): 8.574 8.574 8.586
angles (deg): 90.00 90.00 90.00
Fractional coordinates of all 64 atoms:
Hf (0.000, 0.000, 0.500)
Mg (0.000, 0.500, 0.000)
Mg (0.000, 0.500, 0.500)
Mg (0.500, 0.000, 0.000)
Mg (0.500, 0.000, 0.500)
Mg (0.500, 0.500, 0.000)
Mg (0.500, 0.500, 0.500)
Mg (0.000, 0.254, 0.241)
Mg (0.000, 0.254, 0.759)
Mg (0.000, 0.746, 0.241)
Mg (0.000, 0.746, 0.759)
Mg (0.500, 0.250, 0.248)
Mg (0.500, 0.250, 0.752)
Mg (0.500, 0.750, 0.248)
Mg (0.500, 0.750, 0.752)
Mg (0.254, 0.000, 0.241)
Mg (0.254, 0.000, 0.759)
Mg (0.250, 0.500, 0.248)
Mg (0.250, 0.500, 0.752)
Mg (0.746, 0.000, 0.241)
Mg (0.746, 0.000, 0.759)
Mg (0.750, 0.500, 0.248)
Mg (0.750, 0.500, 0.752)
Mg (0.249, 0.249, 0.000)
Mg (0.255, 0.255, 0.500)
Mg (0.249, 0.751, 0.000)
Mg (0.255, 0.745, 0.500)
Mg (0.751, 0.249, 0.000)
Mg (0.745, 0.255, 0.500)
Mg (0.751, 0.751, 0.000)
Mg (0.745, 0.745, 0.500)
Co (0.000, 0.000, 0.000)
O (0.262, 0.000, 0.000)
O (0.251, 0.000, 0.500)
O (0.251, 0.500, 0.000)
O (0.250, 0.500, 0.500)
O (0.738, 0.000, 0.000)
O (0.749, 0.000, 0.500)
O (0.749, 0.500, 0.000)
O (0.750, 0.500, 0.500)
O (0.249, 0.249, 0.251)
O (0.249, 0.249, 0.749)
O (0.249, 0.751, 0.251)
O (0.249, 0.751, 0.749)
O (0.751, 0.249, 0.251)
O (0.751, 0.249, 0.749)
O (0.751, 0.751, 0.251)
O (0.751, 0.751, 0.749)
O (0.000, 0.000, 0.261)
O (0.000, 0.000, 0.739)
O (0.000, 0.500, 0.253)
O (0.000, 0.500, 0.747)
O (0.500, 0.000, 0.253)
O (0.500, 0.000, 0.747)
O (0.500, 0.500, 0.251)
O (0.500, 0.500, 0.749)
O (0.000, 0.262, 0.000)
O (0.000, 0.251, 0.500)
O (0.000, 0.738, 0.000)
O (0.000, 0.749, 0.500)
O (0.500, 0.251, 0.000)
O (0.500, 0.250, 0.500)
O (0.500, 0.749, 0.000)
O (0.500, 0.750, 0.500)